BeCr2Ru, relaxed, DFT PBE-GGA; total magnetic moment = 3.6 Bohr magnetons per cell; volume = 48.8 Å³/cell; E_form = 20.3 kJ per mole of atoms; space-group type = P4/mmm, No. 123
1.0
4.101 0.000 0.000
0.000 4.101 0.000
0.000 0.000 2.899
Be Cr Ru
1 2 1
direct
0.000 0.000 0.000
0.000 0.500 0.500
0.500 0.000 0.500
0.500 0.500 0.000

---

BeCrRu4, relaxed, DFT PBE-GGA; total magnetic moment = 1.0 Bohr magnetons per cell; volume = 89.7 Å³/cell; E_form = 60.5 kJ per mole of atoms; space-group type = F-43m, No. 216
1.0
0.000 3.552 3.552
3.552 0.000 3.552
3.552 3.552 0.000
Be Cr Ru
1 1 4
direct
0.000 0.000 0.000
0.750 0.750 0.750
0.375 0.375 0.375
0.375 0.375 0.876
0.375 0.876 0.375
0.876 0.375 0.375

---

Be2CrRu, relaxed, DFT PBE-GGA; total magnetic moment = 0.4 Bohr magnetons per cell; volume = 41.7 Å³/cell; E_form = -10.1 kJ per mole of atoms; space-group type = Imm2, No. 44
1.0
-1.438 1.929 3.757
1.438 -1.929 3.757
1.438 1.929 -3.757
Be Cr Ru
2 1 1
direct
0.000 0.000 0.000
0.783 0.283 0.500
0.255 0.755 0.500
0.525 0.525 0.000

---

Be2CrRu, relaxed, DFT PBE-GGA; total magnetic moment = 0.0 Bohr magnetons per cell; volume = 87.9 Å³/cell; E_form = 32.7 kJ per mole of atoms; space-group type = I-42d, No. 122
1.0
-3.015 3.015 2.419
3.015 -3.015 2.419
3.015 3.015 -2.419
Be Cr Ru
4 2 2
direct
0.123 0.625 0.998
0.375 0.373 0.498
0.627 0.125 0.002
0.875 0.877 0.502
0.000 0.000 0.000
0.750 0.250 0.500
0.250 0.750 0.500
0.500 0.500 0.000

---

BeCr2Ru, relaxed, DFT PBE-GGA; total magnetic moment = 0.0 Bohr magnetons per cell; volume = 46.6 Å³/cell; E_form = 10.4 kJ per mole of atoms; space-group type = C2/m, No. 12
1.0
2.342 -4.053 0.000
2.342 4.053 0.000
-0.701 0.000 2.456
Be Cr Ru
1 2 1
direct
0.000 0.000 0.000
0.000 0.500 0.500
0.500 0.000 0.500
0.500 0.500 0.000

---

Be2CrRu, relaxed, DFT PBE-GGA; total magnetic moment = 0.0 Bohr magnetons per cell; volume = 45.3 Å³/cell; E_form = 18.6 kJ per mole of atoms; space-group type = R3m, No. 160
1.0
1.294 0.747 7.807
-1.294 0.747 7.807
0.000 -1.494 7.807
Be Cr Ru
2 1 1
direct
0.000 0.000 0.000
0.254 0.254 0.254
0.505 0.505 0.505
0.751 0.751 0.751

---

Be3CrRu, relaxed, DFT PBE-GGA; energy above the most stable polymorph in this dataset = 0.000 eV/atom; total magnetic moment = 0.1 Bohr magnetons per cell; volume = 64.7 Å³/cell; E_form = 91.2 kJ per mole of atoms; space-group type = Pm-3m, No. 221
1.0
4.015 0.000 0.000
0.000 4.015 0.000
0.000 0.000 4.015
Be Cr Ru
3 1 1
direct
0.000 0.000 0.500
0.000 0.500 0.000
0.500 0.000 0.000
0.500 0.500 0.500
0.000 0.000 0.000

---

Be2CrRu3, relaxed, DFT PBE-GGA; total magnetic moment = 0.6 Bohr magnetons per cell; volume = 69.4 Å³/cell; E_form = -15.6 kJ per mole of atoms; space-group type = P4/mmm, No. 123
1.0
2.834 0.000 0.000
0.000 2.834 0.000
0.000 0.000 8.637
Be Cr Ru
2 1 3
direct
0.000 0.000 0.155
0.000 0.000 0.845
0.000 0.000 0.500
0.500 0.500 0.000
0.500 0.500 0.320
0.500 0.500 0.680

---

Be2CrRu, relaxed, DFT PBE-GGA; total magnetic moment = 0.0 Bohr magnetons per cell; volume = 43.3 Å³/cell; E_form = 6.8 kJ per mole of atoms; space-group type = C2/m, No. 12
1.0
2.427 -3.641 0.000
2.427 3.641 0.000
-0.656 0.000 2.450
Be Cr Ru
2 1 1
direct
0.000 0.500 0.000
0.500 0.000 0.000
0.000 0.000 0.500
0.500 0.500 0.500

---

Be2CrRu, relaxed, DFT PBE-GGA; total magnetic moment = 0.0 Bohr magnetons per cell; volume = 41.2 Å³/cell; E_form = -12.0 kJ per mole of atoms; space-group type = Amm2, No. 38
1.0
3.453 0.000 0.000
0.000 1.382 4.312
0.000 -1.382 4.312
Be Cr Ru
2 1 1
direct
0.000 0.000 0.000
0.500 0.131 0.131
0.000 0.728 0.728
0.500 0.402 0.402

---

Be2CrRu, relaxed, DFT PBE-GGA; total magnetic moment = 2.7 Bohr magnetons per cell; volume = 42.9 Å³/cell; E_form = -3.3 kJ per mole of atoms; space-group type = P4/mmm, No. 123
1.0
3.820 0.000 0.000
0.000 3.820 0.000
0.000 0.000 2.939
Be Cr Ru
2 1 1
direct
0.000 0.500 0.000
0.500 0.000 0.000
0.000 0.000 0.500
0.500 0.500 0.500

---

Be2CrRu, relaxed, DFT PBE-GGA; total magnetic moment = 2.1 Bohr magnetons per cell; volume = 44.2 Å³/cell; E_form = 0.4 kJ per mole of atoms; space-group type = Immm, No. 71
1.0
-1.511 1.998 3.657
1.511 -1.998 3.657
1.511 1.998 -3.657
Be Cr Ru
2 1 1
direct
0.249 0.249 0.000
0.751 0.751 0.000
0.500 0.000 0.500
0.000 0.500 0.500